Li5AlPd2: optimized geometry, GGA-PBE.

Results
ΔH_f (0 K) = -0.39 eV/atom
DOS(E_F) = 3.94 states/eV/f.u.
mass density = 3.82 g/cm³

Cell: 5.571 11.106 3.858 Å, 90.00 90.00 90.00°
Space group Pbam (No. 55)
One atom of each set of equivalent atoms:
Li: 0.000 0.000 0.000 x2
Li: 0.045 0.249 0.000 x4
Li: 0.210 0.867 0.500 x4
Al: 0.000 0.500 0.000 x2
Pd: 0.198 0.610 0.500 x4

***

LiAl2Pd8: optimized geometry, GGA-PBE.

Results
ΔH_f (0 K) = -0.45 eV/atom
DOS(E_F) = 4.03 states/eV/f.u.
ΔE to the lowest computed polymorph = 68 meV/atom
mass density = 8.94 g/cm³

Cell: 6.997 11.445 4.604 Å, 90.00 113.21 90.00°
Space group C2/m (No. 12)
One atom of each set of equivalent atoms:
Li: 0.000 0.000 0.000 x2
Al: 0.000 0.306 0.500 x4
Pd: 0.000 0.216 0.000 x4
Pd: 0.114 0.500 0.813 x4
Pd: 0.213 0.118 0.617 x8

***

Li2AlPd3: optimized geometry, GGA-PBE.

Results
ΔH_f (0 K) = -0.69 eV/atom
DOS(E_F) = 1.35 states/eV/f.u.
ΔE to the lowest computed polymorph = 18 meV/atom
mass density = 7.33 g/cm³

Cell: 4.278 5.954 6.743 Å, 90.00 108.19 90.00°
Space group P2/m (No. 10)
One atom of each set of equivalent atoms:
Li: 0.000 0.000 0.000 x1
Li: 0.000 0.500 0.000 x1
Li: 0.333 0.000 0.666 x2
Al: 0.338 0.500 0.675 x2
Pd: 0.168 0.253 0.337 x4
Pd: 0.500 0.249 0.000 x2

***

Li3AlPd6: optimized geometry, GGA-PBE.

Results
ΔH_f (0 K) = -0.36 eV/atom
DOS(E_F) = 5.33 states/eV/f.u.
ΔE to the lowest computed polymorph = 147 meV/atom
mass density = 7.35 g/cm³

Cell: 10.5974 10.5974 9.5607 Å, 90.00 90.00 120.00°
Space group R-3m (No. 166, hexagonal axes)
One atom of each set of equivalent atoms:
Li: 0.0955 0.1910 0.2543 x18
Al: 0.0000 0.0000 0.0000 x3
Al: 0.0000 0.0000 0.5000 x3
Pd: 0.0000 0.2540 0.5000 x18
Pd: 0.0630 0.5315 0.6193 x18

***

What did the first record say?
Li5AlPd2: optimized geometry, GGA-PBE.

Results
ΔH_f (0 K) = -0.39 eV/atom
DOS(E_F) = 3.94 states/eV/f.u.
mass density = 3.82 g/cm³

Cell: 5.571 11.106 3.858 Å, 90.00 90.00 90.00°
Space group Pbam (No. 55)
One atom of each set of equivalent atoms:
Li: 0.000 0.000 0.000 x2
Li: 0.045 0.249 0.000 x4
Li: 0.210 0.867 0.500 x4
Al: 0.000 0.500 0.000 x2
Pd: 0.198 0.610 0.500 x4